Record 1
LaCoSi3 | SCAN | single point on PBEsol structure

Cell lengths 4.1355, 4.1355, 9.5652 Å; angles 90.00, 90.00, 90.00 degrees
Closest atoms and distances in Å follow each position.
Fractional coordinates of all 10 atoms:
1 La 0.0000 0.0000 0.0000  12 Si 3.02-3.20, 5 Co 3.28-3.29
2 La 0.5000 0.5000 0.5000  12 Si 3.02-3.20, 5 Co 3.28-3.29
3 Co 0.0000 0.0000 0.3436  5 Si 2.25-2.28
4 Co 0.5000 0.5000 0.8436  5 Si 2.25-2.28
5 Si 0.0000 0.0000 0.5793  1 Co 2.25
6 Si 0.0000 0.5000 0.2441  2 Co 2.28
7 Si 0.0000 0.5000 0.7441  2 Co 2.28
8 Si 0.5000 0.0000 0.2441  2 Co 2.28
9 Si 0.5000 0.0000 0.7441  2 Co 2.28
10 Si 0.5000 0.5000 0.0793  1 Co 2.25

Output
Crystal system   tetragonal
E_form (uncorrected)   -0.63 eV per atom

Record 2
CoOsRh2 | SCAN | single point on PBEsol structure

Cell lengths 2.6480, 2.6480, 7.3097 Å; angles 90.00, 90.00, 90.00 degrees
Closest atoms and distances in Å follow each position.
Fractional coordinates of all 4 atoms:
1 Co 0.0000 0.0000 0.0000  4 Os 2.54, 4 Rh 2.56, 4 Co 2.65
2 Os 0.5000 0.5000 0.2348  4 Co 2.54, 4 Os 2.65, 4 Rh 2.67
3 Rh 0.0000 0.0000 0.4947  8 Rh 2.65-2.70, 4 Os 2.67
4 Rh 0.5000 0.5000 0.7605  4 Co 2.56, 8 Rh 2.65-2.70

Output
Crystal system   tetragonal
Distance to the lowest polymorph of the same formula   49 meV/atom
Energy relative to the elements   0.107 eV per atom

Record 3
Zn2FeRe | SCAN | single point on PBEsol structure

Cell lengths 3.4402, 3.8429, 3.9503 Å; angles 90.00, 90.00, 90.00 degrees
Closest atoms and distances in Å follow each position.
Fractional coordinates of all 4 atoms:
1 Zn 0.0000 0.0000 0.0000  4 Zn 2.58, 4 Re 2.62, 4 Fe 2.76
2 Zn 0.5000 0.5000 0.0000  4 Zn 2.58, 4 Fe 2.62, 4 Re 2.76
3 Fe 0.0000 0.5000 0.5000  4 Re 2.58, 8 Zn 2.62-2.76
4 Re 0.5000 0.0000 0.5000  4 Fe 2.58, 8 Zn 2.62-2.76

Output
Crystal system   orthorhombic
Distance to the lowest polymorph of the same formula   54 meV/atom
Energy relative to the elements   0.123 eV per atom

Please write out number 2 again, unchanged.
CoOsRh2 | SCAN | single point on PBEsol structure

Cell lengths 2.6480, 2.6480, 7.3097 Å; angles 90.00, 90.00, 90.00 degrees
Closest atoms and distances in Å follow each position.
Fractional coordinates of all 4 atoms:
1 Co 0.0000 0.0000 0.0000  4 Os 2.54, 4 Rh 2.56, 4 Co 2.65
2 Os 0.5000 0.5000 0.2348  4 Co 2.54, 4 Os 2.65, 4 Rh 2.67
3 Rh 0.0000 0.0000 0.4947  8 Rh 2.65-2.70, 4 Os 2.67
4 Rh 0.5000 0.5000 0.7605  4 Co 2.56, 8 Rh 2.65-2.70

Output
Crystal system   tetragonal
Distance to the lowest polymorph of the same formula   49 meV/atom
Energy relative to the elements   0.107 eV per atom